Arrangement 1

VASP calculation (PBEsol) on crystalline AgSbAs at its relaxed geometry.

a = 5.903 Å, b = 5.903 Å, c = 5.903 Å
α = 150.61°, β = 138.96°, γ = 51.28°
Atoms (fractional coordinates):
Ag1 0.000 0.000 0.000
Sb1 0.343 0.343 0.000
As1 0.607 0.607 0.000

Results
- total magnetic moment (μB/atom) = 0.000
- ρ (Mg/m³) = 7.67


Arrangement 2

VASP calculation (PBEsol) on crystalline AgSbAs at its relaxed geometry.

a = 5.110 Å, b = 5.110 Å, c = 2.894 Å
α = 90.00°, β = 90.00°, γ = 120.00°
Atoms (fractional coordinates):
Ag1 0.000 0.000 0.000
Sb1 0.667 0.333 0.000
As1 0.333 0.667 0.000

Results
- total magnetic moment (μB/atom) = 0.000
- ρ (Mg/m³) = 7.73


Arrangement 3

VASP calculation (PBEsol) on crystalline AgSbAs at its relaxed geometry.

a = 4.676 Å, b = 4.676 Å, c = 4.676 Å
α = 60.00°, β = 60.00°, γ = 60.00°
Atoms (fractional coordinates):
Ag1 0.000 0.000 0.000
Sb1 0.500 0.500 0.500
As1 0.750 0.750 0.750

Results
- total magnetic moment (μB/atom) = 0.000
- ρ (Mg/m³) = 7.00


arrangement 2 comes first in stability; the runner-up is 19 meV per atom higher.